Material: KTc2As
Method: DFT, PBE
State: relaxed

## Properties
**Calculated total energy**: -5.83 eV per atom
**SG**: P2/m, No. 10
**Energy of formation from the pure elements**: 0.787 eV per atom
**DOS at the Fermi energy**: 2.74 states/eV per cell

Unit cell a=2.7185 b=4.9405 c=6.4064 alpha=90.00 beta=91.46 gamma=90.00
Atoms (fractional coordinates):
K (0.0000, 0.0000, 0.0000)
Tc (0.4836, 0.5000, 0.3284)
Tc (0.5164, 0.5000, 0.6716)
As (0.5000, 0.0000, 0.5000)

***

Material: Na3TiIn3Se8
Method: DFT, PBE
State: relaxed

## Properties
**Calculated total energy**: -4.02 eV per atom
**SG**: C2/m, No. 12
**Uncorrected formation energy**: -0.83 eV/atom

Unit cell a=7.9099 b=7.9099 c=8.4951 alpha=117.80 beta=117.80 gamma=59.96
Atoms (fractional coordinates):
Na (0.0000, 0.0000, 0.0000)
Na (0.0000, 0.5000, 0.0000)
Na (0.5000, 0.0000, 0.0000)
Ti (0.0000, 0.0000, 0.5000)
In (0.0000, 0.5000, 0.5000)
In (0.5000, 0.0000, 0.5000)
In (0.5000, 0.5000, 0.5000)
Se (0.2271, 0.2271, 0.7123)
Se (0.2273, 0.7577, 0.7122)
Se (0.2423, 0.7727, 0.2878)
Se (0.2611, 0.2611, 0.2836)
Se (0.7389, 0.7389, 0.7164)
Se (0.7577, 0.2273, 0.7122)
Se (0.7727, 0.2423, 0.2878)
Se (0.7729, 0.7729, 0.2877)

***

Material: Nd14PuMg
Method: DFT, PBE
State: relaxed

## Properties
**Calculated total energy**: -5.13 eV per atom
**SG**: Amm2, No. 38
**Energy of formation from the pure elements**: 0.034 eV per atom
**DOS at the Fermi energy**: 29.16 states/eV per cell

Unit cell a=10.2804 b=7.2610 c=7.2610 alpha=90.00 beta=90.00 gamma=90.00
Atoms (fractional coordinates):
Nd (0.0000, 0.9997, 0.9997)
Nd (0.0000, 0.0020, 0.4980)
Nd (0.0000, 0.4980, 0.0020)
Nd (0.0000, 0.5000, 0.5000)
Nd (0.2545, 0.7501, 0.7501)
Nd (0.2568, 0.2494, 0.7501)
Nd (0.2568, 0.7501, 0.2494)
Nd (0.2590, 0.2493, 0.2493)
Nd (0.5000, 0.5025, 0.9962)
Nd (0.5000, 0.9962, 0.5025)
Nd (0.7410, 0.2493, 0.2493)
Nd (0.7432, 0.2494, 0.7501)
Nd (0.7432, 0.7501, 0.2494)
Nd (0.7455, 0.7501, 0.7501)
Pu (0.5000, 0.0000, 0.0000)
Mg (0.5000, 0.4991, 0.4991)

***

Material: LiBe2Zn2
Method: DFT, PBE
State: relaxed

## Properties
**Energy relative to the lowest polymorph listed for this composition**: 46.5 meV per atom
**Calculated total energy**: -2.32 eV per atom
**SG**: P4/mbm, No. 127
**Energy of formation from the pure elements**: 0.061 eV per atom
**DOS at the Fermi energy**: 1.45 states/eV per cell

Unit cell a=7.0026 b=7.0026 c=2.5115 alpha=90.00 beta=90.00 gamma=90.00
Atoms (fractional coordinates):
Li (0.0000, 0.0000, 0.0000)
Li (0.5000, 0.5000, 0.0000)
Be (0.1674, 0.3326, 0.5000)
Be (0.3326, 0.8326, 0.5000)
Be (0.6674, 0.1674, 0.5000)
Be (0.8326, 0.6674, 0.5000)
Zn (0.1322, 0.6322, 0.0000)
Zn (0.3678, 0.1322, 0.0000)
Zn (0.6322, 0.8678, 0.0000)
Zn (0.8678, 0.3678, 0.0000)

***

Look up the calculated total energy of the fourth one. -2.32 eV per atom

***

Which value of calculated total energy does entry 4 give? -2.32 eV per atom

***

What did the fourth record say?
Material: LiBe2Zn2
Method: DFT, PBE
State: relaxed

## Properties
**Energy relative to the lowest polymorph listed for this composition**: 46.5 meV per atom
**Calculated total energy**: -2.32 eV per atom
**SG**: P4/mbm, No. 127
**Energy of formation from the pure elements**: 0.061 eV per atom
**DOS at the Fermi energy**: 1.45 states/eV per cell

Unit cell a=7.0026 b=7.0026 c=2.5115 alpha=90.00 beta=90.00 gamma=90.00
Atoms (fractional coordinates):
Li (0.0000, 0.0000, 0.0000)
Li (0.5000, 0.5000, 0.0000)
Be (0.1674, 0.3326, 0.5000)
Be (0.3326, 0.8326, 0.5000)
Be (0.6674, 0.1674, 0.5000)
Be (0.8326, 0.6674, 0.5000)
Zn (0.1322, 0.6322, 0.0000)
Zn (0.3678, 0.1322, 0.0000)
Zn (0.6322, 0.8678, 0.0000)
Zn (0.8678, 0.3678, 0.0000)